The following is a GGA-PBE calculation of a geometry-optimized Ce4Si6Ru7 structure, from the Alexandria database.

## Properties
Space group: No. 229
Formation energy from raw total energies: -13.02 eV/f.u.
ρ: 8.3 g/cm3

Structure (POSCAR):
```
Ce4Si6Ru7
1.0
6.797 0.000 -2.403
-3.399 5.887 -2.403
0.000 0.000 7.210
Ce Si Ru
4 6 7
Cartesian
3.399 0.000 -1.202 Ce
1.699 2.943 1.202 Ce
-1.699 2.943 -1.202 Ce
0.000 0.000 3.605 Ce
4.602 0.000 3.254 Si
2.301 3.985 -3.254 Si
-1.098 1.901 1.552 Si
2.195 0.000 1.552 Si
1.098 1.901 -1.552 Si
-2.301 3.985 3.254 Si
3.399 2.943 -1.202 Ru
-0.850 4.415 1.202 Ru
0.850 4.415 -1.202 Ru
4.248 1.472 1.202 Ru
0.000 2.943 3.605 Ru
2.549 1.472 3.605 Ru
0.000 0.000 0.000 Ru
```